1.
Computed, not measured: a relaxed structure of Er4TmCuS8 at the PBE level of DFT.

Crystal system: trigonal
Calculated total energy (eV per atom): -6.095
E_form (uncorrected) (eV per atom): -1.82

a = 7.843 Å, b = 7.843 Å, c = 7.843 Å
α = 60.08°, β = 60.08°, γ = 60.08°
Fractional coordinates of all 14 atoms:
Er (0.000, 0.000, 0.000)
Er (0.380, 0.380, 0.861)
Er (0.380, 0.861, 0.380)
Er (0.861, 0.380, 0.380)
Tm (0.380, 0.380, 0.380)
Cu (0.749, 0.749, 0.749)
S (0.131, 0.623, 0.623)
S (0.134, 0.134, 0.134)
S (0.135, 0.135, 0.598)
S (0.135, 0.598, 0.135)
S (0.598, 0.135, 0.135)
S (0.623, 0.131, 0.623)
S (0.623, 0.623, 0.131)
S (0.623, 0.623, 0.623)

2.
Computed, not measured: a relaxed structure of ErTm2CuS5 at the PBE level of DFT.

Crystal system: orthorhombic
Calculated total energy (eV per atom): -5.928
E_form (uncorrected) (eV per atom): -1.68

a = 8.507 Å, b = 8.507 Å, c = 11.318 Å
α = 90.00°, β = 90.00°, γ = 154.33°
Fractional coordinates of all 18 atoms:
Er (0.194, 0.806, 0.500)
Er (0.806, 0.194, 0.000)
Tm (0.106, 0.894, 0.174)
Tm (0.120, 0.880, 0.796)
Tm (0.880, 0.120, 0.296)
Tm (0.894, 0.106, 0.674)
Cu (0.442, 0.558, 0.946)
Cu (0.558, 0.442, 0.446)
S (0.042, 0.958, 0.557)
S (0.290, 0.710, 0.169)
S (0.319, 0.681, 0.832)
S (0.358, 0.642, 0.492)
S (0.497, 0.503, 0.269)
S (0.503, 0.497, 0.769)
S (0.642, 0.358, 0.992)
S (0.681, 0.319, 0.332)
S (0.710, 0.290, 0.669)
S (0.958, 0.042, 0.057)

3.
Computed, not measured: a relaxed structure of ErZrCuS4 at the PBE level of DFT.

Crystal system: orthorhombic
Calculated total energy (eV per atom): -6.259
E_form (uncorrected) (eV per atom): -1.44

a = 7.552 Å, b = 7.552 Å, c = 7.552 Å
α = 120.71°, β = 119.46°, γ = 89.85°
Fractional coordinates of all 14 atoms:
Er (0.000, 0.000, 0.000)
Er (0.500, 0.000, 0.500)
Zr (0.500, 0.000, 0.000)
Zr (0.500, 0.500, 0.500)
Cu (0.127, 0.377, 0.750)
Cu (0.873, 0.623, 0.250)
S (0.257, 0.746, 0.510)
S (0.259, 0.262, 0.503)
S (0.259, 0.756, 0.997)
S (0.264, 0.254, 0.010)
S (0.736, 0.746, 0.990)
S (0.741, 0.244, 0.003)
S (0.741, 0.738, 0.497)
S (0.743, 0.254, 0.490)

4.
Computed, not measured: a relaxed structure of ErCu2Sb2 at the PBE level of DFT.

Crystal system: monoclinic
Calculated total energy (eV per atom): -4.478
E_form (uncorrected) (eV per atom): -0.28

a = 6.971 Å, b = 6.971 Å, c = 6.189 Å
α = 114.88°, β = 114.88°, γ = 99.89°
Fractional coordinates of all 10 atoms:
Er (0.146, 0.854, 0.750)
Er (0.854, 0.146, 0.250)
Cu (0.194, 0.510, 0.259)
Cu (0.490, 0.806, 0.241)
Cu (0.510, 0.194, 0.759)
Cu (0.806, 0.490, 0.741)
Sb (0.135, 0.865, 0.250)
Sb (0.440, 0.560, 0.750)
Sb (0.560, 0.440, 0.250)
Sb (0.865, 0.135, 0.750)

5.
Computed, not measured: a relaxed structure of ErCu2Sb2 at the PBE level of DFT.

Crystal system: orthorhombic
Calculated total energy (eV per atom): -4.633
E_form (uncorrected) (eV per atom): -0.43

a = 11.273 Å, b = 11.273 Å, c = 4.293 Å
α = 90.00°, β = 90.00°, γ = 157.94°
Fractional coordinates of all 10 atoms:
Er (0.139, 0.861, 0.750)
Er (0.861, 0.139, 0.250)
Cu (0.030, 0.970, 0.250)
Cu (0.469, 0.531, 0.250)
Cu (0.531, 0.469, 0.750)
Cu (0.970, 0.030, 0.750)
Sb (0.250, 0.750, 0.250)
Sb (0.399, 0.601, 0.750)
Sb (0.601, 0.399, 0.250)
Sb (0.750, 0.250, 0.750)

6.
Computed, not measured: a relaxed structure of Er3Cu3Sb4 at the PBE level of DFT.

Crystal system: cubic
Calculated total energy (eV per atom): -4.944
E_form (uncorrected) (eV per atom): -0.70

a = 8.267 Å, b = 8.267 Å, c = 8.267 Å
α = 109.47°, β = 109.47°, γ = 109.47°
Fractional coordinates of all 20 atoms:
Er (0.125, 0.750, 0.875)
Er (0.250, 0.625, 0.375)
Er (0.375, 0.250, 0.625)
Er (0.625, 0.375, 0.250)
Er (0.750, 0.875, 0.125)
Er (0.875, 0.125, 0.750)
Cu (0.125, 0.875, 0.250)
Cu (0.250, 0.125, 0.875)
Cu (0.375, 0.625, 0.750)
Cu (0.625, 0.750, 0.375)
Cu (0.750, 0.375, 0.625)
Cu (0.875, 0.250, 0.125)
Sb (0.000, 0.339, 0.500)
Sb (0.000, 0.839, 0.500)
Sb (0.161, 0.161, 0.161)
Sb (0.339, 0.500, 0.000)
Sb (0.500, 0.000, 0.339)
Sb (0.500, 0.000, 0.839)
Sb (0.661, 0.661, 0.661)
Sb (0.839, 0.500, 0.000)

7.
Computed, not measured: a relaxed structure of Er6Cu2Sb at the PBE level of DFT.

Crystal system: orthorhombic
Calculated total energy (eV per atom): -4.744
E_form (uncorrected) (eV per atom): -0.33

a = 8.454 Å, b = 8.454 Å, c = 8.454 Å
α = 114.34°, β = 110.74°, γ = 103.52°
Fractional coordinates of all 18 atoms:
Er (0.031, 0.231, 0.800)
Er (0.188, 0.290, 0.477)
Er (0.188, 0.710, 0.898)
Er (0.321, 0.012, 0.691)
Er (0.321, 0.630, 0.309)
Er (0.431, 0.231, 0.200)
Er (0.569, 0.769, 0.800)
Er (0.679, 0.370, 0.691)
Er (0.679, 0.988, 0.309)
Er (0.812, 0.290, 0.102)
Er (0.812, 0.710, 0.523)
Er (0.969, 0.769, 0.200)
Cu (0.118, 0.618, 0.500)
Cu (0.354, 0.000, 0.354)
Cu (0.646, 0.000, 0.646)
Cu (0.882, 0.382, 0.500)
Sb (0.000, 0.000, 0.000)
Sb (0.500, 0.500, 0.000)

8.
Computed, not measured: a relaxed structure of Er4Cu2Sb at the PBE level of DFT.

Crystal system: triclinic
Calculated total energy (eV per atom): -4.762
E_form (uncorrected) (eV per atom): -0.40

a = 6.613 Å, b = 7.776 Å, c = 7.994 Å
α = 108.63°, β = 107.29°, γ = 106.34°
Fractional coordinates of all 14 atoms:
Er (0.000, 0.000, 0.000)
Er (0.006, 0.419, 0.808)
Er (0.154, 0.474, 0.341)
Er (0.282, 0.109, 0.568)
Er (0.410, 0.871, 0.864)
Er (0.596, 0.281, 0.320)
Er (0.709, 0.629, 0.136)
Er (0.720, 0.929, 0.553)
Cu (0.324, 0.248, 0.947)
Cu (0.727, 0.240, 0.971)
Cu (0.871, 0.081, 0.306)
Cu (0.953, 0.684, 0.562)
Sb (0.284, 0.804, 0.193)
Sb (0.603, 0.571, 0.702)

9.
Computed, not measured: a relaxed structure of Er8Cu2Sb at the PBE level of DFT.

Crystal system: monoclinic
Calculated total energy (eV per atom): -4.608
E_form (uncorrected) (eV per atom): -0.17

a = 7.903 Å, b = 7.903 Å, c = 5.359 Å
α = 98.23°, β = 98.23°, γ = 113.84°
Fractional coordinates of all 11 atoms:
Er (0.081, 0.333, 0.598)
Er (0.243, 0.757, 0.000)
Er (0.333, 0.081, 0.598)
Er (0.394, 0.394, 0.199)
Er (0.606, 0.606, 0.801)
Er (0.667, 0.919, 0.402)
Er (0.757, 0.243, 0.000)
Er (0.919, 0.667, 0.402)
Cu (0.306, 0.694, 0.500)
Cu (0.694, 0.306, 0.500)
Sb (0.000, 0.000, 0.000)

10.
Computed, not measured: a relaxed structure of Er2CuSb4 at the PBE level of DFT.

Crystal system: tetragonal
Calculated total energy (eV per atom): -4.886
E_form (uncorrected) (eV per atom): -0.64

a = 4.347 Å, b = 4.347 Å, c = 9.279 Å
α = 90.00°, β = 90.00°, γ = 90.00°
Fractional coordinates of all 7 atoms:
Er (0.000, 0.500, 0.238)
Er (0.500, 0.000, 0.762)
Cu (0.500, 0.500, 0.000)
Sb (0.000, 0.000, 0.500)
Sb (0.000, 0.500, 0.853)
Sb (0.500, 0.000, 0.147)
Sb (0.500, 0.500, 0.500)

11.
Computed, not measured: a relaxed structure of ErCu4Sb at the PBE level of DFT.

Crystal system: cubic
Calculated total energy (eV per atom): -4.353
E_form (uncorrected) (eV per atom): -0.17

a = 5.180 Å, b = 5.180 Å, c = 5.180 Å
α = 60.00°, β = 60.00°, γ = 60.00°
Fractional coordinates of all 6 atoms:
Er (0.000, 0.000, 0.000)
Cu (0.124, 0.625, 0.625)
Cu (0.625, 0.124, 0.625)
Cu (0.625, 0.625, 0.124)
Cu (0.625, 0.625, 0.625)
Sb (0.250, 0.250, 0.250)

12.
Computed, not measured: a relaxed structure of Er5CuSb2 at the PBE level of DFT.

Crystal system: orthorhombic
Calculated total energy (eV per atom): -4.695
E_form (uncorrected) (eV per atom): -0.30

a = 6.612 Å, b = 6.612 Å, c = 13.614 Å
α = 90.00°, β = 90.00°, γ = 128.70°
Fractional coordinates of all 16 atoms:
Er (0.064, 0.936, 0.608)
Er (0.064, 0.936, 0.892)
Er (0.370, 0.630, 0.250)
Er (0.380, 0.620, 0.567)
Er (0.380, 0.620, 0.933)
Er (0.620, 0.380, 0.067)
Er (0.620, 0.380, 0.433)
Er (0.630, 0.370, 0.750)
Er (0.936, 0.064, 0.108)
Er (0.936, 0.064, 0.392)
Cu (0.237, 0.763, 0.750)
Cu (0.763, 0.237, 0.250)
Sb (0.196, 0.804, 0.095)
Sb (0.196, 0.804, 0.405)
Sb (0.804, 0.196, 0.595)
Sb (0.804, 0.196, 0.905)

13.
Computed, not measured: a relaxed structure of Er2CuSb at the PBE level of DFT.

Distance to the lowest polymorph of the same formula (meV per atom): 0
Crystal system: monoclinic
Calculated total energy (eV per atom): -4.966
E_form (uncorrected) (eV per atom): -0.63

a = 5.978 Å, b = 4.118 Å, c = 8.280 Å
α = 90.00°, β = 110.10°, γ = 90.00°
Fractional coordinates of all 8 atoms:
Er (0.187, 0.250, 0.410)
Er (0.260, 0.750, 0.057)
Er (0.740, 0.250, 0.943)
Er (0.813, 0.750, 0.590)
Cu (0.138, 0.250, 0.791)
Cu (0.862, 0.750, 0.209)
Sb (0.377, 0.750, 0.709)
Sb (0.623, 0.250, 0.291)

14.
Computed, not measured: a relaxed structure of Er4CuSb2 at the PBE level of DFT.

Crystal system: monoclinic
Calculated total energy (eV per atom): -4.870
E_form (uncorrected) (eV per atom): -0.50

a = 15.167 Å, b = 4.185 Å, c = 7.265 Å
α = 90.00°, β = 118.41°, γ = 90.00°
Fractional coordinates of all 14 atoms:
Er (0.112, 0.000, 0.285)
Er (0.113, 0.500, 0.777)
Er (0.387, 0.000, 0.223)
Er (0.388, 0.500, 0.715)
Er (0.612, 0.500, 0.285)
Er (0.613, 0.000, 0.777)
Er (0.887, 0.500, 0.223)
Er (0.888, 0.000, 0.715)
Cu (0.000, 0.500, 0.000)
Cu (0.500, 0.000, 0.000)
Sb (0.250, 0.000, 0.753)
Sb (0.250, 0.500, 0.247)
Sb (0.750, 0.000, 0.247)
Sb (0.750, 0.500, 0.753)

15.
Computed, not measured: a relaxed structure of Er12CuSb6 at the PBE level of DFT.

Crystal system: trigonal
Calculated total energy (eV per atom): -4.963
E_form (uncorrected) (eV per atom): -0.56

a = 8.479 Å, b = 8.479 Å, c = 8.479 Å
α = 100.19°, β = 100.19°, γ = 100.19°
Fractional coordinates of all 19 atoms:
Er (0.018, 0.942, 0.686)
Er (0.058, 0.314, 0.982)
Er (0.196, 0.544, 0.412)
Er (0.314, 0.982, 0.058)
Er (0.412, 0.196, 0.544)
Er (0.456, 0.588, 0.804)
Er (0.544, 0.412, 0.196)
Er (0.588, 0.804, 0.456)
Er (0.686, 0.018, 0.942)
Er (0.804, 0.456, 0.588)
Er (0.942, 0.686, 0.018)
Er (0.982, 0.058, 0.314)
Cu (0.000, 0.000, 0.000)
Sb (0.120, 0.316, 0.642)
Sb (0.316, 0.642, 0.120)
Sb (0.358, 0.880, 0.684)
Sb (0.642, 0.120, 0.316)
Sb (0.684, 0.358, 0.880)
Sb (0.880, 0.684, 0.358)

16.
Computed, not measured: a relaxed structure of Er2CuSb at the PBE level of DFT.

Distance to the lowest polymorph of the same formula (meV per atom): 134
Crystal system: tetragonal
Calculated total energy (eV per atom): -4.832
E_form (uncorrected) (eV per atom): -0.50

a = 4.908 Å, b = 4.908 Å, c = 3.891 Å
α = 90.00°, β = 90.00°, γ = 90.00°
Fractional coordinates of all 4 atoms:
Er (0.000, 0.500, 0.000)
Er (0.500, 0.000, 0.000)
Cu (0.000, 0.000, 0.500)
Sb (0.500, 0.500, 0.500)

17.
Computed, not measured: a relaxed structure of ErSc5Cu6 at the PBE level of DFT.

Crystal system: orthorhombic
Calculated total energy (eV per atom): -5.338
ΔH_f (0 K) (meV/atom): -272

a = 8.077 Å, b = 8.077 Å, c = 8.077 Å
α = 146.44°, β = 132.33°, γ = 59.55°
Fractional coordinates of all 12 atoms:
Er (0.000, 0.000, 0.000)
Sc (0.167, 0.667, 0.500)
Sc (0.333, 0.333, 0.000)
Sc (0.500, 0.000, 0.500)
Sc (0.667, 0.667, 0.000)
Sc (0.833, 0.333, 0.500)
Cu (0.086, 0.829, 0.257)
Cu (0.265, 0.500, 0.765)
Cu (0.428, 0.171, 0.257)
Cu (0.572, 0.829, 0.743)
Cu (0.735, 0.500, 0.235)
Cu (0.914, 0.171, 0.743)

18.
Computed, not measured: a relaxed structure of Er5ScCu6 at the PBE level of DFT.

Crystal system: orthorhombic
Calculated total energy (eV per atom): -4.751
ΔH_f (0 K) (meV/atom): -274

a = 7.648 Å, b = 7.648 Å, c = 6.764 Å
α = 90.00°, β = 90.00°, γ = 143.16°
Fractional coordinates of all 12 atoms:
Er (0.000, 0.000, 0.000)
Er (0.333, 0.667, 0.000)
Er (0.335, 0.665, 0.500)
Er (0.665, 0.335, 0.500)
Er (0.667, 0.333, 0.000)
Sc (0.000, 0.000, 0.500)
Cu (0.163, 0.837, 0.256)
Cu (0.163, 0.837, 0.744)
Cu (0.500, 0.500, 0.260)
Cu (0.500, 0.500, 0.740)
Cu (0.837, 0.163, 0.256)
Cu (0.837, 0.163, 0.744)

19.
Computed, not measured: a relaxed structure of Er2ScCu at the PBE level of DFT.

Distance to the lowest polymorph of the same formula (meV per atom): 9
Crystal system: monoclinic
Calculated total energy (eV per atom): -4.991
ΔH_f (0 K) (meV/atom): -103

a = 3.513 Å, b = 9.076 Å, c = 6.324 Å
α = 90.00°, β = 106.08°, γ = 90.00°
Fractional coordinates of all 8 atoms:
Er (0.132, 0.059, 0.266)
Er (0.132, 0.441, 0.266)
Er (0.868, 0.559, 0.734)
Er (0.868, 0.941, 0.734)
Sc (0.439, 0.250, 0.878)
Sc (0.561, 0.750, 0.122)
Cu (0.243, 0.750, 0.483)
Cu (0.757, 0.250, 0.517)

20.
Computed, not measured: a relaxed structure of Er2ScCu2 at the PBE level of DFT.

Distance to the lowest polymorph of the same formula (meV per atom): 0
Crystal system: tetragonal
Calculated total energy (eV per atom): -4.908
ΔH_f (0 K) (meV/atom): -178

a = 7.774 Å, b = 7.774 Å, c = 3.558 Å
α = 90.00°, β = 90.00°, γ = 90.00°
Fractional coordinates of all 10 atoms:
Er (0.169, 0.331, 0.000)
Er (0.331, 0.831, 0.000)
Er (0.669, 0.169, 0.000)
Er (0.831, 0.669, 0.000)
Sc (0.000, 0.000, 0.500)
Sc (0.500, 0.500, 0.500)
Cu (0.124, 0.624, 0.500)
Cu (0.376, 0.124, 0.500)
Cu (0.624, 0.876, 0.500)
Cu (0.876, 0.376, 0.500)

21.
Computed, not measured: a relaxed structure of Er2Sc3Cu3 at the PBE level of DFT.

Crystal system: orthorhombic
Calculated total energy (eV per atom): -5.177
ΔH_f (0 K) (meV/atom): -126

a = 3.394 Å, b = 4.843 Å, c = 19.964 Å
α = 90.00°, β = 90.00°, γ = 90.00°
Fractional coordinates of all 16 atoms:
Er (0.000, 0.000, 0.223)
Er (0.000, 0.000, 0.777)
Er (0.500, 0.500, 0.277)
Er (0.500, 0.500, 0.723)
Sc (0.000, 0.000, 0.000)
Sc (0.000, 0.500, 0.114)
Sc (0.000, 0.500, 0.886)
Sc (0.500, 0.000, 0.386)
Sc (0.500, 0.000, 0.614)
Sc (0.500, 0.500, 0.500)
Cu (0.000, 0.000, 0.500)
Cu (0.000, 0.500, 0.392)
Cu (0.000, 0.500, 0.608)
Cu (0.500, 0.000, 0.108)
Cu (0.500, 0.000, 0.892)
Cu (0.500, 0.500, 0.000)